# ThPa3Mn4N12 GGA-PBE optimized geometry
data_ThPa3Mn4N12
_cell_length_a 11.1441
_cell_length_b 11.1441
_cell_length_c 8.5286
_cell_angle_alpha 90.00
_cell_angle_beta 90.00
_cell_angle_gamma 120.00
_symmetry_space_group_name_H-M 'R 3 2'
_symmetry_Int_Tables_number 155
_symmetry_space_group_name_Hall 'R 3 2"'
loop_
_atom_site_label
_atom_site_fract_x
_atom_site_fract_y
_atom_site_fract_z
Th1 0.0000 0.0000 0.0000
Pa1 0.0000 0.5445 0.0000
Mn1 0.0000 0.0000 0.5000
Mn2 0.0000 0.4536 0.5000
N1 0.0000 0.6097 0.5000
N2 0.0000 0.8440 0.5000
N3 0.0303 0.1986 0.1702
# Volume = 917.3 Å³ per cell
# Energy relative to the elements, uncorrected = -646 meV/atom
# D(E_F) = 6.3 states/eV/f.u.